Record 1
Density functional theory data (PBE) for a relaxed structure of ThGaSiRh3.

Properties
Formation energy from raw total energies in eV per atom: -0.70

abc: 7.8937 7.8937 5.7429
angles: 90.00 90.00 137.93
Element x y z (fractional)
Th (0.2083, 0.7917, 0.7500)
Th (0.7917, 0.2083, 0.2500)
Ga (0.0981, 0.9019, 0.2500)
Ga (0.9019, 0.0981, 0.7500)
Si (0.4236, 0.5764, 0.2500)
Si (0.5764, 0.4236, 0.7500)
Rh (0.2463, 0.2463, 0.0000)
Rh (0.2463, 0.2463, 0.5000)
Rh (0.2644, 0.7356, 0.2500)
Rh (0.7356, 0.2644, 0.7500)
Rh (0.7537, 0.7537, 0.0000)
Rh (0.7537, 0.7537, 0.5000)

---

Record 2
Density functional theory data (PBE) for a relaxed structure of Pm2Er2Sb5.

Properties
Formation energy from raw total energies in eV per atom: -0.86

abc: 8.9073 8.9073 8.2457
angles: 90.00 90.00 53.70
Element x y z (fractional)
Pm (0.1918, 0.1918, 0.0000)
Pm (0.3082, 0.3082, 0.5000)
Pm (0.6918, 0.6918, 0.5000)
Pm (0.8082, 0.8082, 0.0000)
Er (0.1560, 0.8440, 0.6605)
Er (0.3440, 0.6560, 0.1605)
Er (0.6560, 0.3440, 0.8395)
Er (0.8440, 0.1560, 0.3395)
Sb (0.0000, 0.0000, 0.0000)
Sb (0.0091, 0.7189, 0.3549)
Sb (0.2189, 0.5091, 0.8549)
Sb (0.2811, 0.9909, 0.3549)
Sb (0.4909, 0.7811, 0.8549)
Sb (0.5000, 0.5000, 0.5000)
Sb (0.5091, 0.2189, 0.1451)
Sb (0.7189, 0.0091, 0.6451)
Sb (0.7811, 0.4909, 0.1451)
Sb (0.9909, 0.2811, 0.6451)

---

Record 3
Density functional theory data (PBE) for a relaxed structure of Pm6ThSe8.

Properties
Formation energy from raw total energies in eV per atom: -1.82

abc: 8.3655 8.3655 8.3655
angles: 60.00 60.00 60.00
Element x y z (fractional)
Pm (0.0000, 0.0000, 0.5000)
Pm (0.0000, 0.5000, 0.0000)
Pm (0.0000, 0.5000, 0.5000)
Pm (0.5000, 0.0000, 0.0000)
Pm (0.5000, 0.0000, 0.5000)
Pm (0.5000, 0.5000, 0.0000)
Th (0.0000, 0.0000, 0.0000)
Se (0.2500, 0.2500, 0.2500)
Se (0.2547, 0.2547, 0.7453)
Se (0.2547, 0.7453, 0.2547)
Se (0.2547, 0.7453, 0.7453)
Se (0.7453, 0.2547, 0.2547)
Se (0.7453, 0.2547, 0.7453)
Se (0.7453, 0.7453, 0.2547)
Se (0.7500, 0.7500, 0.7500)

---

Record 4
Density functional theory data (PBE) for a relaxed structure of VNiSe3.

Properties
ΔE to the lowest computed polymorph in meV per atom: 0
Formation energy from raw total energies in eV per atom: -0.48

abc: 3.4064 11.3897 11.3897
angles: 150.02 90.00 90.00
Element x y z (fractional)
V (0.2500, 0.1699, 0.8301)
V (0.7500, 0.8301, 0.1699)
Ni (0.2500, 0.2049, 0.4737)
Ni (0.7500, 0.4737, 0.2049)
Se (0.2500, 0.2790, 0.1293)
Se (0.2500, 0.6003, 0.8619)
Se (0.2500, 0.9686, 0.4337)
Se (0.7500, 0.1293, 0.2790)
Se (0.7500, 0.4337, 0.9686)
Se (0.7500, 0.8619, 0.6003)

---

Record 5
Density functional theory data (PBE) for a relaxed structure of BaSrPb2.

Properties
Formation enthalpy at 0 K in eV/atom: -0.5426

abc: 4.8003 6.7172 9.8404
angles: 90.00 90.00 90.00
Element x y z (fractional)
Ba (0.0000, 0.1256, 0.0000)
Ba (0.0000, 0.8744, 0.5000)
Sr (0.5000, 0.3724, 0.6218)
Sr (0.5000, 0.6276, 0.1218)
Pb (0.0000, 0.4013, 0.3451)
Pb (0.0000, 0.5987, 0.8451)
Pb (0.5000, 0.1151, 0.2794)
Pb (0.5000, 0.8849, 0.7794)

---

Record 6
Density functional theory data (PBE) for a relaxed structure of Ba4FeRh.

Properties
Formation enthalpy at 0 K in eV/atom: 1.1677

abc: 6.8693 6.8693 6.8693
angles: 60.00 60.00 60.00
Element x y z (fractional)
Ba (0.1255, 0.1255, 0.1255)
Ba (0.1255, 0.1255, 0.6236)
Ba (0.1255, 0.6236, 0.1255)
Ba (0.6236, 0.1255, 0.1255)
Fe (0.7500, 0.7500, 0.7500)
Rh (0.5000, 0.5000, 0.5000)

---

Record 7
Density functional theory data (PBE) for a relaxed structure of DyNi2B.

Properties
Formation enthalpy at 0 K in eV/atom: -0.3213

abc: 5.2367 5.2367 5.2367
angles: 40.96 40.96 40.96
Element x y z (fractional)
Dy (0.0000, 0.0000, 0.0000)
Ni (0.2002, 0.2002, 0.2002)
Ni (0.7998, 0.7998, 0.7998)
B (0.5000, 0.5000, 0.5000)

---

Record 8
Density functional theory data (PBE) for a relaxed structure of Al2H18SO15.

Properties
Final energy in eV per formula unit: -196.20

abc: 7.5383 15.7678 11.6875
angles: 90.00 111.29 90.00
Element x y z (fractional)
Al (0.0764, 0.0332, 0.1309)
Al (0.0764, 0.4668, 0.6309)
Al (0.3430, 0.5476, 0.5229)
Al (0.3430, 0.9524, 0.0229)
Al (0.6570, 0.0476, 0.9771)
Al (0.6570, 0.4524, 0.4771)
Al (0.9236, 0.5332, 0.3691)
Al (0.9236, 0.9668, 0.8691)
H (0.0567, 0.5332, 0.1909)
H (0.0567, 0.9668, 0.6909)
H (0.0670, 0.1884, 0.5871)
H (0.0670, 0.3116, 0.0871)
H (0.0798, 0.2175, 0.8320)
H (0.0798, 0.2825, 0.3320)
H (0.0982, 0.5416, 0.8421)
H (0.0982, 0.9584, 0.3421)
H (0.1325, 0.6587, 0.3720)
H (0.1325, 0.8413, 0.8720)
H (0.1428, 0.0988, 0.9465)
H (0.1428, 0.4012, 0.4465)
H (0.1700, 0.7058, 0.8372)
H (0.1700, 0.7942, 0.3372)
H (0.1850, 0.2324, 0.9770)
H (0.1850, 0.2676, 0.4770)
H (0.2011, 0.7356, 0.2315)
H (0.2011, 0.7644, 0.7315)
H (0.2246, 0.1855, 0.1778)
H (0.2246, 0.3145, 0.6778)
H (0.2885, 0.1715, 0.6230)
H (0.2885, 0.3285, 0.1230)
H (0.3426, 0.1215, 0.2917)
H (0.3426, 0.3785, 0.7917)
H (0.3606, 0.5662, 0.7390)
H (0.3606, 0.9338, 0.2390)
H (0.3620, 0.0381, 0.6293)
H (0.3620, 0.4619, 0.1293)
H (0.3928, 0.1702, 0.9135)
H (0.3928, 0.3298, 0.4135)
H (0.3940, 0.5427, 0.3160)
H (0.3940, 0.9573, 0.8160)
H (0.4048, 0.7031, 0.5926)
H (0.4048, 0.7969, 0.0926)
H (0.4634, 0.0936, 0.5565)
H (0.4634, 0.4064, 0.0565)
H (0.5366, 0.5936, 0.9435)
H (0.5366, 0.9064, 0.4435)
H (0.5952, 0.2031, 0.9074)
H (0.5952, 0.2969, 0.4074)
H (0.6060, 0.0427, 0.1840)
H (0.6060, 0.4573, 0.6840)
H (0.6072, 0.6702, 0.5865)
H (0.6072, 0.8298, 0.0865)
H (0.6380, 0.5381, 0.8707)
H (0.6380, 0.9619, 0.3707)
H (0.6394, 0.0662, 0.7610)
H (0.6394, 0.4338, 0.2610)
H (0.6574, 0.6215, 0.2083)
H (0.6574, 0.8785, 0.7083)
H (0.7115, 0.6715, 0.8770)
H (0.7115, 0.8285, 0.3770)
H (0.7754, 0.6855, 0.3222)
H (0.7754, 0.8145, 0.8222)
H (0.7989, 0.2356, 0.2685)
H (0.7989, 0.2644, 0.7685)
H (0.8150, 0.7324, 0.5230)
H (0.8150, 0.7676, 0.0230)
H (0.8300, 0.2058, 0.6628)
H (0.8300, 0.2942, 0.1628)
H (0.8572, 0.5988, 0.5535)
H (0.8572, 0.9012, 0.0535)
H (0.8675, 0.1587, 0.1280)
H (0.8675, 0.3413, 0.6280)
H (0.9018, 0.0416, 0.6579)
H (0.9018, 0.4584, 0.1579)
H (0.9202, 0.7175, 0.6680)
H (0.9202, 0.7825, 0.1680)
H (0.9330, 0.6884, 0.9129)
H (0.9330, 0.8116, 0.4129)
H (0.9433, 0.0332, 0.3091)
H (0.9433, 0.4668, 0.8091)
S (0.2968, 0.6267, 0.0715)
S (0.2968, 0.8733, 0.5715)
S (0.7032, 0.1267, 0.4285)
S (0.7032, 0.3733, 0.9285)
O (0.0425, 0.0061, 0.2839)
O (0.0425, 0.4939, 0.7839)
O (0.1198, 0.7457, 0.2812)
O (0.1198, 0.7543, 0.7812)
O (0.1280, 0.0407, 0.9768)
O (0.1280, 0.4593, 0.4768)
O (0.1287, 0.6060, 0.4176)
O (0.1287, 0.8940, 0.9176)
O (0.1572, 0.6249, 0.9410)
O (0.1572, 0.8751, 0.4410)
O (0.1844, 0.1955, 0.9068)
O (0.1844, 0.3045, 0.4068)
O (0.1896, 0.2179, 0.6044)
O (0.1896, 0.2821, 0.1044)
O (0.2454, 0.1252, 0.2061)
O (0.2454, 0.3748, 0.7061)
O (0.2457, 0.5594, 0.1445)
O (0.2457, 0.9406, 0.6445)
O (0.2637, 0.5482, 0.6597)
O (0.2637, 0.9518, 0.1597)
O (0.2924, 0.7116, 0.1251)
O (0.2924, 0.7884, 0.6251)
O (0.4345, 0.0912, 0.6334)
O (0.4345, 0.4088, 0.1334)
O (0.4443, 0.5230, 0.4009)
O (0.4443, 0.9770, 0.9009)
O (0.4729, 0.6533, 0.5757)
O (0.4729, 0.8467, 0.0757)
O (0.4916, 0.6091, 0.0719)
O (0.4916, 0.8909, 0.5719)
O (0.5084, 0.1091, 0.4281)
O (0.5084, 0.3909, 0.9281)
O (0.5271, 0.1533, 0.9243)
O (0.5271, 0.3467, 0.4243)
O (0.5557, 0.0230, 0.0991)
O (0.5557, 0.4770, 0.5991)
O (0.5655, 0.5912, 0.8666)
O (0.5655, 0.9088, 0.3666)
O (0.7076, 0.2116, 0.3749)
O (0.7076, 0.2884, 0.8749)
O (0.7363, 0.0482, 0.8403)
O (0.7363, 0.4518, 0.3403)
O (0.7543, 0.0594, 0.3555)
O (0.7543, 0.4406, 0.8555)
O (0.7546, 0.6252, 0.2939)
O (0.7546, 0.8748, 0.7939)
O (0.8104, 0.7179, 0.8956)
O (0.8104, 0.7821, 0.3956)
O (0.8156, 0.6955, 0.5932)
O (0.8156, 0.8045, 0.0932)
O (0.8428, 0.1249, 0.5590)
O (0.8428, 0.3751, 0.0590)
O (0.8713, 0.1060, 0.0824)
O (0.8713, 0.3940, 0.5824)
O (0.8720, 0.5407, 0.5232)
O (0.8720, 0.9593, 0.0232)
O (0.8802, 0.2457, 0.2188)
O (0.8802, 0.2543, 0.7188)
O (0.9575, 0.5061, 0.2161)
O (0.9575, 0.9939, 0.7161)

---

Record 9
Density functional theory data (PBE) for a relaxed structure of MnPRu2.

Properties
Formation enthalpy at 0 K in eV/atom: -0.0683
ΔE to the lowest computed polymorph in meV per atom: 158

abc: 2.8703 3.6330 5.1006
angles: 90.00 90.00 90.00
Element x y z (fractional)
Mn (0.0000, 0.0000, 0.0000)
P (0.5000, 0.5000, 0.2989)
Ru (0.0000, 0.0000, 0.4771)
Ru (0.5000, 0.5000, 0.8248)

---

Record 10
Density functional theory data (PBE) for a relaxed structure of Cd7HgAu4.

Properties
Formation enthalpy at 0 K in eV/atom: -0.0570
ΔE to the lowest computed polymorph in meV per atom: 39

abc: 6.8669 6.8669 10.1695
angles: 122.50 122.50 44.84
Element x y z (fractional)
Cd (0.0000, 0.0000, 0.0000)
Cd (0.1534, 0.1534, 0.5785)
Cd (0.2841, 0.2841, 0.1207)
Cd (0.4331, 0.4331, 0.6558)
Cd (0.5669, 0.5669, 0.3442)
Cd (0.7159, 0.7159, 0.8793)
Cd (0.8466, 0.8466, 0.4215)
Hg (0.5000, 0.5000, 0.0000)
Au (0.0729, 0.0729, 0.7793)
Au (0.2080, 0.2080, 0.3374)
Au (0.7920, 0.7920, 0.6626)
Au (0.9271, 0.9271, 0.2207)

---

Record 11
Density functional theory data (PBE) for a relaxed structure of CaNd2Cd.

Properties
Formation enthalpy at 0 K in eV/atom: -0.1006
ΔE to the lowest computed polymorph in meV per atom: 0

abc: 3.8958 3.8958 8.8359
angles: 90.00 90.00 90.00
Element x y z (fractional)
Ca (0.0000, 0.0000, 0.0000)
Nd (0.5000, 0.5000, 0.2926)
Nd (0.5000, 0.5000, 0.7074)
Cd (0.0000, 0.0000, 0.5000)

---

Record 12
Density functional theory data (PBE) for a relaxed structure of CsKCuF4.

Properties
Formation energy from raw total energies in eV per atom: -2.26

abc: 7.6251 7.6251 6.0180
angles: 90.00 90.00 133.65
Element x y z (fractional)
Cs (0.0966, 0.9034, 0.7500)
Cs (0.9034, 0.0966, 0.2500)
K (0.3774, 0.6226, 0.7500)
K (0.6226, 0.3774, 0.2500)
Cu (0.2532, 0.7468, 0.2500)
Cu (0.7468, 0.2532, 0.7500)
F (0.0000, 0.5000, 0.0000)
F (0.0000, 0.5000, 0.5000)
F (0.1136, 0.8864, 0.2500)
F (0.3945, 0.6055, 0.2500)
F (0.5000, 0.0000, 0.0000)
F (0.5000, 0.0000, 0.5000)
F (0.6055, 0.3945, 0.7500)
F (0.8864, 0.1136, 0.7500)